DFT (PBE) results for a relaxed structure of BiPbO4.

Results
Fermi-level density of states = 1.5 states/eV/f.u.
Formation energy from raw total energies = -5.5 eV per formula unit

```
BiPbO4
1.0
6.207 0.000 0.000
0.000 5.131 0.000
-2.280 0.000 5.791
Bi Pb O
2 2 8
direct
0.000 0.000 0.000
0.000 0.500 0.500
0.500 0.000 0.500
0.500 0.500 0.000
0.153 0.191 0.346
0.153 0.309 0.846
0.346 0.695 0.656
0.346 0.805 0.156
0.654 0.195 0.844
0.654 0.305 0.344
0.847 0.691 0.154
0.847 0.809 0.654
```